First-principles (GGA-PBE) data for a relaxed structure of Ag3HgPd12, as listed in the Alexandria database.

abc: 4.014 4.014 16.005
angles: 90.00 90.00 90.00
Space group P4/mmm (No. 123)
Inequivalent atoms, fractional coordinates:
Ag 0.000 0.000 0.000
Ag 0.000 0.000 0.248
Hg 0.000 0.000 0.500
Pd 0.000 0.500 0.124
Pd 0.000 0.500 0.372
Pd 0.500 0.500 0.000
Pd 0.500 0.500 0.247
Pd 0.500 0.500 0.500

Values from the calculation:
N(E_F): 18.9 states/eV/cell
Calculated formation energy: -33 meV per atom


First-principles (GGA-PBE) data for a relaxed structure of YReCl2, as listed in the Alexandria database.

abc: 3.210 3.210 10.506
angles: 90.00 90.00 90.00
Space group P4/mmm (No. 123)
Inequivalent atoms, fractional coordinates:
Y 0.000 0.000 0.000
Re 0.000 0.000 0.500
Cl 0.500 0.500 0.155

Values from the calculation:
N(E_F): 3.3 states/eV/cell
Raw formation energy: 0.1084 eV per atom
Energy relative to the lowest polymorph listed for this composition: 587.3 meV per atom


First-principles (GGA-PBE) data for a relaxed structure of Dy3Ge2Pt6, as listed in the Alexandria database.

abc: 9.495 9.495 9.495
angles: 90.00 90.00 90.00
Space group Im-3m (No. 229)
Inequivalent atoms, fractional coordinates:
Dy 0.000 0.000 0.293
Ge 0.250 0.250 0.250
Pt 0.000 0.324 0.324

Values from the calculation:
N(E_F): 8.4 states/eV/cell
Calculated formation energy: -944 meV per atom


First-principles (GGA-PBE) data for a relaxed structure of LaCu5Pt2, as listed in the Alexandria database.

abc: 3.970 7.274 9.303
angles: 90.00 90.00 90.00
Space group Immm (No. 71)
Inequivalent atoms, fractional coordinates:
La 0.000 0.000 0.000
Cu 0.000 0.172 0.361
Cu 0.000 0.500 0.000
Pt 0.000 0.500 0.269

Values from the calculation:
N(E_F): 8.1 states/eV/cell
Calculated formation energy: -255 meV per atom


First-principles (GGA-PBE) data for a relaxed structure of KMnHgB2, as listed in the Alexandria database.

abc: 4.163 4.163 5.952
angles: 90.00 90.00 90.00
Space group P4/mmm (No. 123)
Inequivalent atoms, fractional coordinates:
K 0.000 0.000 0.000
Mn 0.000 0.000 0.500
Hg 0.500 0.500 0.000
B 0.000 0.500 0.500

Values from the calculation:
N(E_F): 2.2 states/eV/cell
Calculated formation energy: 1124 meV per atom


First-principles (GGA-PBE) data for a relaxed structure of CeNpTcIr, as listed in the Alexandria database.

abc: 6.854 6.854 6.854
angles: 90.00 90.00 90.00
Space group F-43m (No. 216)
Inequivalent atoms, fractional coordinates:
Ce 0.000 0.000 0.000
Np 0.000 0.000 0.500
Tc 0.250 0.250 0.750
Ir 0.250 0.250 0.250

Values from the calculation:
N(E_F): 29.4 states/eV/cell
Calculated formation energy: -143 meV per atom


First-principles (GGA-PBE) data for a relaxed structure of TlTc3Ru, as listed in the Alexandria database.

abc: 4.712 4.712 4.712
angles: 90.00 90.00 90.00
Space group Pm-3m (No. 221)
Inequivalent atoms, fractional coordinates:
Tl 0.000 0.000 0.000
Tc 0.000 0.500 0.500
Ru 0.500 0.500 0.500

Values from the calculation:
N(E_F): 6.3 states/eV/cell
Calculated formation energy: 1604 meV per atom
Energy relative to the lowest polymorph listed for this composition: 0.0 meV per atom


First-principles (GGA-PBE) data for a relaxed structure of BeCr2CuIr, as listed in the Alexandria database.

abc: 4.196 4.196 4.517
angles: 90.00 90.00 90.00
Space group P4/mmm (No. 123)
Inequivalent atoms, fractional coordinates:
Be 0.000 0.000 0.000
Cr 0.000 0.500 0.500
Cu 0.500 0.500 0.500
Ir 0.500 0.500 0.000

Values from the calculation:
N(E_F): 8.4 states/eV/cell
Calculated formation energy: 1762 meV per atom


First-principles (GGA-PBE) data for a relaxed structure of AlGa2O, as listed in the Alexandria database.

abc: 5.253 5.253 10.750
angles: 90.00 90.00 90.00
Space group I-42d (No. 122)
Inequivalent atoms, fractional coordinates:
Al 0.000 0.000 0.000
Ga 0.168 0.250 0.625
O 0.000 0.000 0.500

Values from the calculation:
N(E_F): 2.7 states/eV/cell
Raw formation energy: -0.3883 eV per atom
Energy relative to the lowest polymorph listed for this composition: 0.0 meV per atom


First-principles (GGA-PBE) data for a relaxed structure of Cs2Bi2Se3, as listed in the Alexandria database.

abc: 14.900 5.171 7.734
angles: 90.00 105.83 90.00
Space group C2/m (No. 12)
Inequivalent atoms, fractional coordinates:
Cs 0.111 0.000 0.306
Bi 0.140 0.500 0.841
Se 0.000 0.500 0.500
Se 0.214 0.000 0.793

Values from the calculation:
N(E_F): 6.2 states/eV/cell
Raw formation energy: -0.6344 eV per atom


First-principles (GGA-PBE) data for a relaxed structure of PrHo3S4, as listed in the Alexandria database.

abc: 7.982 11.156 3.893
angles: 90.00 90.00 90.00
Space group Cmmm (No. 65)
Inequivalent atoms, fractional coordinates:
Pr 0.000 0.000 0.000
Ho 0.000 0.500 0.000
Ho 0.250 0.250 0.500
S 0.000 0.257 0.000
S 0.236 0.500 0.500

Values from the calculation:
N(E_F): 9.1 states/eV/cell
Raw formation energy: -1.9761 eV per atom
Energy relative to the lowest polymorph listed for this composition: 0.0 meV per atom


First-principles (GGA-PBE) data for a relaxed structure of Ho2Hg6Pb, as listed in the Alexandria database.

abc: 15.122 8.740 3.402
angles: 90.00 90.05 90.00
Space group C2/m (No. 12)
Inequivalent atoms, fractional coordinates:
Ho 0.167 0.000 0.000
Hg 0.000 0.165 0.500
Hg 0.168 0.332 0.503
Pb 0.000 0.500 0.000

Values from the calculation:
N(E_F): 9.6 states/eV/cell
Calculated formation energy: -222 meV per atom


Number 1: magnetization 0.000 Bohr magnetons per cell. Number 2: magnetization 3.821 Bohr magnetons per cell. Number 3: magnetization 0.000 Bohr magnetons per cell. Number 4: magnetization 0.000 Bohr magnetons per cell. Number 5: magnetization 1.963 Bohr magnetons per cell. Number 6: magnetization 12.891 Bohr magnetons per cell. Number 7: magnetization 2.960 Bohr magnetons per cell. Number 8: magnetization 0.003 Bohr magnetons per cell. Number 9: magnetization 0.000 Bohr magnetons per cell. Number 10: magnetization 0.000 Bohr magnetons per cell. Number 11: magnetization 0.000 Bohr magnetons per cell. Number 12: magnetization 0.000 Bohr magnetons per cell.